1.
SmOsO6 GGA-PBE optimized geometry; raw formation energy = -11.278 eV/f.u.
1.0
2.9565 -3.4028 0.0000
2.9565 3.4028 0.0000
-0.8290 0.0000 4.7182
Sm Os O
1 1 6
direct
0.0000 0.0000 0.0000
0.5000 0.5000 0.5000
0.1983 0.5753 0.2265
0.2181 0.2181 0.6190
0.4247 0.8017 0.7735
0.5753 0.1983 0.2265
0.7819 0.7819 0.3810
0.8017 0.4247 0.7735

---

2.
SmOs2O8 GGA-PBE optimized geometry; raw formation energy = -15.770 eV/f.u.
1.0
6.2934 0.0000 0.0000
-3.1467 5.4503 0.0000
0.0000 0.0000 6.0783
Sm Os O
1 2 8
direct
0.0000 0.0000 0.0000
0.3333 0.6667 0.3067
0.6667 0.3333 0.6933
0.1794 0.3589 0.2028
0.1794 0.8206 0.2028
0.3333 0.6667 0.5937
0.3589 0.1794 0.7972
0.6411 0.8206 0.2028
0.6667 0.3333 0.4063
0.8206 0.1794 0.7972
0.8206 0.6411 0.7972

---

3.
Sm5Os2O12 GGA-PBE optimized geometry; raw formation energy = -50.183 eV/f.u.
1.0
6.4239 -2.8672 0.0000
6.4239 2.8672 0.0000
-2.3370 0.0000 7.3322
Sm Os O
5 2 12
direct
0.0000 0.0000 0.0000
0.3033 0.3033 0.1438
0.3118 0.3118 0.6685
0.6882 0.6882 0.3315
0.6967 0.6967 0.8562
0.2183 0.7817 0.5000
0.7817 0.2183 0.5000
0.9998 0.9998 0.3007
0.0002 0.0002 0.6993
0.0870 0.5871 0.4180
0.0976 0.5950 0.9253
0.4050 0.9024 0.0747
0.4129 0.9130 0.5820
0.4988 0.4988 0.3326
0.5012 0.5012 0.6674
0.5871 0.0870 0.4180
0.5950 0.0976 0.9253
0.9024 0.4050 0.0747
0.9130 0.4129 0.5820

---

What did the third record say?
Sm5Os2O12 GGA-PBE optimized geometry; raw formation energy = -50.183 eV/f.u.
1.0
6.4239 -2.8672 0.0000
6.4239 2.8672 0.0000
-2.3370 0.0000 7.3322
Sm Os O
5 2 12
direct
0.0000 0.0000 0.0000
0.3033 0.3033 0.1438
0.3118 0.3118 0.6685
0.6882 0.6882 0.3315
0.6967 0.6967 0.8562
0.2183 0.7817 0.5000
0.7817 0.2183 0.5000
0.9998 0.9998 0.3007
0.0002 0.0002 0.6993
0.0870 0.5871 0.4180
0.0976 0.5950 0.9253
0.4050 0.9024 0.0747
0.4129 0.9130 0.5820
0.4988 0.4988 0.3326
0.5012 0.5012 0.6674
0.5871 0.0870 0.4180
0.5950 0.0976 0.9253
0.9024 0.4050 0.0747
0.9130 0.4129 0.5820

---

Which formula does entry 1 have?
SmOsO6

---

What did the second record say?
SmOs2O8 GGA-PBE optimized geometry; raw formation energy = -15.770 eV/f.u.
1.0
6.2934 0.0000 0.0000
-3.1467 5.4503 0.0000
0.0000 0.0000 6.0783
Sm Os O
1 2 8
direct
0.0000 0.0000 0.0000
0.3333 0.6667 0.3067
0.6667 0.3333 0.6933
0.1794 0.3589 0.2028
0.1794 0.8206 0.2028
0.3333 0.6667 0.5937
0.3589 0.1794 0.7972
0.6411 0.8206 0.2028
0.6667 0.3333 0.4063
0.8206 0.1794 0.7972
0.8206 0.6411 0.7972

---

Among the records above, which one has the highest raw formation energy?
SmOsO6